DFT (PBE-GGA) results for Y2BPt after structural relaxation.

```
4
Lattice="0.0000 3.3043 3.3043 3.3043 0.0000 3.3043 3.3043 3.3043 0.0000" Properties=species:S:1:pos:R:3 pbc="T T T"
B 3.3043 3.3043 3.3043
Pt 1.6521 1.6521 1.6521
Y 0.0000 0.0000 0.0000
Y 4.9564 4.9564 4.9564
```

Output
Total moment, μB/cell: 0.00
Final energy, eV per cell: -24.99